First-principles (PBE-GGA) data for a geometry-optimized HfCo2CuH structure, as listed in Alexandria via LeMat-Bulk.

Results
Its density of states at the Fermi level is 0.145 states/eV per atom. The total energy is -32.53 eV for the cell shown.

Unit cell a=3.8806 b=3.5810 c=3.8806 alpha=90.00 beta=90.00 gamma=90.00
With the nearest neighbours (Å) after each atom.
Positions (direct):
Co: 0.5000 0.0000 0.0000  2 H 1.94
Co: 0.0000 0.0000 0.5000  2 H 1.94
H: 0.0000 0.0000 0.0000  2 Cu 1.79, 4 Co 1.94
Cu: 0.0000 0.5000 0.0000  2 H 1.79
Hf: 0.5000 0.5000 0.5000  8 Co 2.64, 4 Cu 2.74